(1)
{"formula": "AgC2", "functional": "PBE-GGA", "state": "relaxed", "lattice_angstrom": [[1.818, 0.890, 2.757], [-2.143, 2.247, -1.433], [-5.558, -2.459, 4.458]], "species": ["Ag", "Ag", "C", "C", "C", "C"], "fractional_positions": [[0.000, 0.000, 0.000], [0.000, 0.000, 0.500], [0.667, 0.333, 0.334], [0.333, 0.667, 0.834], [0.667, 0.333, 0.166], [0.333, 0.667, 0.666]], "delta_e_f_ev_per_atom": 1.62, "total_energy_ev_per_cell": -32.87}

***

(2)
{"formula": "LaBi3Cl", "functional": "PBE-GGA", "state": "relaxed", "lattice_angstrom": [[5.515, 0.000, 0.000], [0.000, 5.515, 0.000], [0.000, 0.000, 5.515]], "species": ["Cl", "Bi", "Bi", "Bi", "La"], "fractional_positions": [[0.000, 0.000, 0.000], [0.000, 0.000, 0.500], [0.000, 0.500, 0.000], [0.500, 0.000, 0.000], [0.500, 0.500, 0.500]], "total_energy_ev_per_cell": -18.82, "e_form_raw_ev_per_fu": -0.4}

***

no.,excess energy over the best structure of this formula in the dataset (meV per atom),Fermi-level density of states (states/eV per cell)
1,1289.4,3.66
2,0.0,3.43